Here is a geometry-optimized FeRe2Ag structure from Alexandria via LeMat-Bulk. Energies are from PBEsol.

abc: 2.6996 4.6559 4.7824
angles: 101.92 106.39 90.00
Closest atoms and distances in Å follow each position.
Fractional coordinates of all 4 atoms:
1 Ag 0.5000 0.0000 0.0000  4 Fe 2.69, 2 Ag 2.70, 6 Re 2.72-2.81
2 Re 0.2634 0.2645 0.5268  3 Fe 2.59-2.86, 6 Re 2.63-2.77, 3 Ag 2.72-2.81
3 Re 0.7366 0.7355 0.4732  3 Fe 2.59-2.86, 6 Re 2.63-2.77, 3 Ag 2.72-2.81
4 Fe 0.0000 0.5000 0.0000  6 Re 2.59-2.86, 4 Ag 2.69, 2 Fe 2.70

## Properties
As for the final energy: -37.26 eV per cell. The calculation puts the formation energy from the elements at 0.4209 eV per atom. The space-group type is No. 12. The calculation puts the density of states at the Fermi level at 0.8899 states/eV per atom. The energy above the lowest structure with this stoichiometry is 44.2 meV per atom.